Pr7DyTl4 PBE relaxed; ΔE_f = -0.08 eV per atom; space group = C2/m (12); D(E_F) = 12.8 states/eV per cell
1.0
5.957 0.000 0.000
2.978 9.051 0.756
2.978 0.822 7.473
Pr Dy Tl
7 1 4
Direct
0.797 0.883 0.523 Pr
0.203 0.117 0.477 Pr
0.062 0.607 0.270 Pr
0.938 0.393 0.730 Pr
0.271 0.668 0.789 Pr
0.500 0.000 0.000 Pr
0.729 0.332 0.211 Pr
0.000 0.000 0.000 Dy
0.556 0.258 0.631 Tl
0.444 0.742 0.369 Tl
0.686 0.666 0.962 Tl
0.314 0.334 0.038 Tl



GeIO2 PBE relaxed; energy relative to the lowest polymorph listed for this composition = 1445 meV/atom; space group = Fm-3m (225); energy relative to the elements, uncorrected = 0.5216 eV per atom; D(E_F) = 3.9 states/eV per cell
1.0
0.000 3.085 3.085
3.085 0.000 3.085
3.085 3.085 0.000
I Ge O
1 1 2
Direct
0.500 0.500 0.500 I
0.000 0.000 0.000 Ge
0.250 0.250 0.250 O
0.750 0.750 0.750 O



Ce5PuRu5 PBE relaxed; ΔE_f = -0.19 eV per atom; space group = C2/m (12); D(E_F) = 15.8 states/eV per cell
1.0
5.546 0.000 0.000
-2.773 6.198 -0.145
0.000 -2.484 7.570
Ce Pu Ru
5 1 5
Direct
0.672 0.345 0.334 Ce
0.666 0.331 0.838 Ce
0.000 0.000 0.500 Ce
0.334 0.669 0.162 Ce
0.328 0.655 0.666 Ce
0.000 0.000 0.000 Pu
0.855 0.710 0.193 Ru
0.822 0.644 0.671 Ru
0.500 0.000 0.000 Ru
0.178 0.356 0.329 Ru
0.145 0.290 0.807 Ru



LaTmPdRu PBE relaxed; ΔE_f = -0.54 eV per atom; space group = F-43m (216); D(E_F) = 3.3 states/eV per cell
1.0
-4.918 0.687 0.204
-3.044 -3.915 0.330
-2.459 -0.886 4.227
Ru Tm Pd La
1 1 1 1
Direct
0.250 0.250 0.250 Ru
0.000 0.000 0.000 Tm
0.750 0.750 0.750 Pd
0.500 0.500 0.500 La



NdHoCdGa PBE relaxed; energy relative to the lowest polymorph listed for this composition = 21 meV/atom; ΔE_f = -0.43 eV per atom; space group = F-43m (216); D(E_F) = 3.8 states/eV per cell
1.0
-2.203 4.730 0.612
-1.003 1.827 4.823
2.825 3.982 1.941
Nd Ho Ga Cd
1 1 1 1
Direct
0.000 0.000 0.000 Nd
0.500 0.500 0.500 Ho
0.750 0.750 0.750 Ga
0.250 0.250 0.250 Cd



GaFeSe2Br PBE relaxed; energy relative to the lowest polymorph listed for this composition = 551 meV/atom; space group = P4/mmm (123); energy relative to the elements, uncorrected = 0.5423 eV per atom; D(E_F) = 6.1 states/eV per cell
1.0
-4.086 2.264 1.719
-2.392 -1.112 -4.221
-1.572 -4.393 2.048
Ga Se Br Fe
1 2 1 1
Direct
0.000 0.000 0.000 Ga
0.000 0.500 0.000 Se
0.500 0.000 0.000 Se
0.000 0.000 0.500 Br
0.500 0.500 0.500 Fe



no.,magnetization (μB per formula unit),volume (A^3/atom)
1,0.0,33.27
2,0.0,14.67
3,5.4,23.47
4,0.0,21.70
5,0.0,25.64
6,4.1,25.24